# 1
Computed, not measured: a geometry-optimized SiIrPd structure at the GGA-PBE level of DFT.

- V (Å³ per atom) = 15.17
- symmetry = F-43m (216)
- energy (eV per atom) = -7.085

a = 4.0075 Å, b = 4.0075 Å, c = 4.0075 Å
α = 60.00°, β = 60.00°, γ = 60.00°
With the nearest neighbours (Å) after each atom.
Fractional coordinates of all 3 atoms:
Ir 0.2500 0.2500 0.2500  4 Si 2.45
Pd 0.7500 0.7500 0.7500  4 Si 2.45
Si 0.0000 0.0000 0.0000  4 Pd 2.45, 4 Ir 2.45



# 2
Computed, not measured: a geometry-optimized Si2Ir2Pd structure at the GGA-PBE level of DFT.

- V (Å³ per atom) = 15.41
- symmetry = I4/mmm (139)
- energy (eV per atom) = -7.228

a = 5.6109 Å, b = 5.6109 Å, c = 5.6109 Å
α = 138.40°, β = 138.40°, γ = 60.29°
With the nearest neighbours (Å) after each atom.
Fractional coordinates of all 5 atoms:
Ir 0.7500 0.2500 0.5000  4 Si 2.37
Ir 0.2500 0.7500 0.5000  4 Si 2.37
Pd 0.0000 0.0000 0.0000  8 Si 3.04, 8 Ir 3.14
Si 0.3824 0.3824 0.0000  1 Si 2.28, 4 Ir 2.37
Si 0.6176 0.6176 0.0000  1 Si 2.28, 4 Ir 2.37



# 3
Computed, not measured: a geometry-optimized Si4Ir3Pd structure at the GGA-PBE level of DFT.

- V (Å³ per atom) = 14.49
- symmetry = Pm (6)
- energy (eV per atom) = -7.190

a = 3.8827 Å, b = 3.7383 Å, c = 7.9842 Å
α = 90.00°, β = 90.26°, γ = 90.00°
With the nearest neighbours (Å) after each atom.
Fractional coordinates of all 8 atoms:
Ir 0.7488 0.5000 0.1875  4 Si 2.38-2.39
Ir 0.2496 0.0000 0.3126  4 Si 2.40
Ir 0.7517 0.5000 0.6778  4 Si 2.40
Pd 0.2522 0.0000 0.8165  4 Si 2.42-2.45
Si 0.7501 0.0000 0.0000  2 Ir 2.39, 2 Pd 2.42-2.44
Si 0.2473 0.5000 0.0152  2 Ir 2.38, 2 Pd 2.45
Si 0.7505 0.0000 0.4892  4 Ir 2.40
Si 0.2499 0.5000 0.5012  4 Ir 2.40



# 4
Computed, not measured: a geometry-optimized SmSi2IrPd structure at the GGA-PBE level of DFT.

- V (Å³ per atom) = 17.22
- symmetry = I-4m2 (119)
- energy (eV per atom) = -6.875

a = 5.8476 Å, b = 5.8476 Å, c = 5.8476 Å
α = 138.74°, β = 138.74°, γ = 59.78°
With the nearest neighbours (Å) after each atom.
Fractional coordinates of all 5 atoms:
Ir 0.2500 0.7500 0.5000  4 Si 2.45
Pd 0.7500 0.2500 0.5000  4 Si 2.45
Si 0.1189 0.1189 0.0000  1 Si 2.41, 2 Ir 2.45, 2 Pd 2.45
Si 0.8811 0.8811 0.0000  1 Si 2.41, 2 Pd 2.45, 2 Ir 2.45
Sm 0.5000 0.5000 0.0000  8 Si 3.15, 4 Pd 3.27, 4 Ir 3.27



# 5
Computed, not measured: a geometry-optimized YSi2IrPd structure at the GGA-PBE level of DFT.

- V (Å³ per atom) = 16.78
- symmetry = I-4m2 (119)
- energy (eV per atom) = -7.233

a = 5.8030 Å, b = 5.8030 Å, c = 5.8030 Å
α = 138.81°, β = 138.81°, γ = 59.67°
With the nearest neighbours (Å) after each atom.
Fractional coordinates of all 5 atoms:
Ir 0.5000 0.5000 0.0000  4 Si 2.44
Pd 0.0000 0.0000 0.0000  4 Si 2.44
Si 0.6331 0.1331 0.5000  1 Si 2.35, 2 Pd 2.44, 2 Ir 2.44
Si 0.8669 0.3669 0.5000  1 Si 2.35, 2 Ir 2.44, 2 Pd 2.44
Y 0.2500 0.7500 0.5000  8 Si 3.12, 4 Pd 3.24, 4 Ir 3.24



# 6
Computed, not measured: a geometry-optimized Sm3Sn3Ir2Pd structure at the GGA-PBE level of DFT.

- V (Å³ per atom) = 22.32
- symmetry = P-62m (189)
- energy (eV per atom) = -6.286

a = 7.5424 Å, b = 7.5424 Å, c = 4.0782 Å
α = 90.00°, β = 90.00°, γ = 120.00°
With the nearest neighbours (Å) after each atom.
Fractional coordinates of all 9 atoms:
Ir 0.6667 0.3333 0.5000  3 Sn 2.84, 6 Sm 3.05
Ir 0.3333 0.6667 0.5000  3 Sn 2.84, 6 Sm 3.05
Pd 0.0000 0.0000 0.0000  6 Sn 2.82, 3 Sm 3.11
Sm 0.4127 0.0000 0.0000  4 Ir 3.05, 1 Pd 3.11, 6 Sn 3.21-3.40
Sm 0.0000 0.4127 0.0000  4 Ir 3.05, 1 Pd 3.11, 6 Sn 3.21-3.40
Sm 0.5873 0.5873 0.0000  4 Ir 3.05, 1 Pd 3.11, 6 Sn 3.21-3.40
Sn 0.7415 0.0000 0.5000  2 Pd 2.82, 2 Ir 2.84
Sn 0.2585 0.2585 0.5000  2 Pd 2.82, 2 Ir 2.84
Sn 0.0000 0.7415 0.5000  2 Pd 2.82, 2 Ir 2.84



# 7
Computed, not measured: a geometry-optimized Sm3Sn3IrPd2 structure at the GGA-PBE level of DFT.

- V (Å³ per atom) = 22.56
- symmetry = P-62m (189)
- energy (eV per atom) = -5.944

a = 7.5754 Å, b = 7.5754 Å, c = 4.0862 Å
α = 90.00°, β = 90.00°, γ = 120.00°
With the nearest neighbours (Å) after each atom.
Fractional coordinates of all 9 atoms:
Ir 0.0000 0.0000 0.0000  6 Sn 2.79, 3 Sm 3.08
Pd 0.6667 0.3333 0.5000  3 Sn 2.88, 6 Sm 3.07
Pd 0.3333 0.6667 0.5000  3 Sn 2.88, 6 Sm 3.07
Sm 0.4067 0.0000 0.0000  4 Pd 3.07, 1 Ir 3.08, 6 Sn 3.30-3.38
Sm 0.0000 0.4067 0.0000  4 Pd 3.07, 1 Ir 3.08, 6 Sn 3.30-3.38
Sm 0.5933 0.5933 0.0000  4 Pd 3.07, 1 Ir 3.08, 6 Sn 3.30-3.38
Sn 0.7484 0.0000 0.5000  2 Ir 2.79, 2 Pd 2.88
Sn 0.2516 0.2516 0.5000  2 Ir 2.79, 2 Pd 2.88
Sn 0.0000 0.7484 0.5000  2 Ir 2.79, 2 Pd 2.88



# 8
Computed, not measured: a geometry-optimized Sn2IrPd structure at the GGA-PBE level of DFT.

- V (Å³ per atom) = 18.91
- symmetry = F-43m (216)
- energy (eV per atom) = -5.354
- relative energy among the computed polymorphs (meV per atom) = 429

a = 4.7472 Å, b = 4.7472 Å, c = 4.7472 Å
α = 60.00°, β = 60.00°, γ = 60.00°
With the nearest neighbours (Å) after each atom.
Fractional coordinates of all 4 atoms:
Ir 0.2500 0.2500 0.2500  4 Pd 2.91, 4 Sn 2.91
Pd 0.5000 0.5000 0.5000  4 Ir 2.91, 4 Sn 2.91
Sn 0.0000 0.0000 0.0000  4 Sn 2.91, 4 Ir 2.91
Sn 0.7500 0.7500 0.7500  4 Sn 2.91, 4 Pd 2.91



# 9
Computed, not measured: a geometry-optimized Sn2IrPd structure at the GGA-PBE level of DFT.

- V (Å³ per atom) = 19.16
- symmetry = P2_1/m (11)
- energy (eV per atom) = -5.783
- relative energy among the computed polymorphs (meV per atom) = 0

a = 3.4914 Å, b = 4.1342 Å, c = 10.6344 Å
α = 90.00°, β = 92.98°, γ = 90.00°
With the nearest neighbours (Å) after each atom.
Fractional coordinates of all 8 atoms:
Ir 0.5237 0.7500 0.0843  7 Sn 2.73-3.02, 2 Ir 2.74
Ir 0.4763 0.2500 0.9157  7 Sn 2.73-3.02, 2 Ir 2.74
Pd 0.0782 0.2500 0.4105  6 Sn 2.79-2.87, 2 Pd 2.88
Pd 0.9218 0.7500 0.5895  6 Sn 2.79-2.87, 2 Pd 2.88
Sn 0.0306 0.2500 0.1432  6 Ir 2.77-3.02, 1 Pd 2.84
Sn 0.5604 0.7500 0.3410  1 Ir 2.73, 5 Pd 2.79-2.87
Sn 0.4396 0.2500 0.6590  1 Ir 2.73, 5 Pd 2.79-2.87
Sn 0.9694 0.7500 0.8568  6 Ir 2.77-3.02, 1 Pd 2.84



# 10
Computed, not measured: a geometry-optimized Sn2IrPd structure at the GGA-PBE level of DFT.

- V (Å³ per atom) = 18.84
- symmetry = Pmc2_1 (26)
- energy (eV per atom) = -5.756
- relative energy among the computed polymorphs (meV per atom) = 27

a = 4.1941 Å, b = 3.3171 Å, c = 10.8323 Å
α = 90.00°, β = 90.00°, γ = 90.00°
With the nearest neighbours (Å) after each atom.
Fractional coordinates of all 8 atoms:
Ir 0.0000 0.6444 0.0883  6 Sn 2.76-2.81, 2 Pd 2.92
Ir 0.0000 0.3556 0.5883  6 Sn 2.76-2.81, 2 Pd 2.92
Pd 0.5000 0.1581 0.4114  6 Sn 2.77-2.82, 2 Ir 2.92
Pd 0.5000 0.8419 0.9114  6 Sn 2.77-2.82, 2 Ir 2.92
Sn 0.5000 0.1481 0.1542  4 Ir 2.76-2.77, 2 Pd 2.79-2.82
Sn 0.0000 0.6578 0.3461  4 Pd 2.77, 2 Ir 2.79-2.81
Sn 0.5000 0.8519 0.6542  4 Ir 2.76-2.77, 2 Pd 2.79-2.82
Sn 0.0000 0.3422 0.8461  4 Pd 2.77, 2 Ir 2.79-2.81



# 11
Computed, not measured: a geometry-optimized Sn2IrPd structure at the GGA-PBE level of DFT.

- V (Å³ per atom) = 19.03
- symmetry = Cmcm (63)
- energy (eV per atom) = -5.576
- relative energy among the computed polymorphs (meV per atom) = 207

a = 5.6727 Å, b = 5.6727 Å, c = 8.1705 Å
α = 90.00°, β = 90.00°, γ = 144.61°
With the nearest neighbours (Å) after each atom.
Fractional coordinates of all 8 atoms:
Ir 0.0012 0.9988 0.2500  4 Sn 2.72, 3 Pd 2.93-3.04
Ir 0.9988 0.0012 0.7500  4 Sn 2.72, 3 Pd 2.93-3.04
Pd 0.2824 0.7176 0.2500  6 Sn 2.68-2.86, 2 Ir 2.93
Pd 0.7176 0.2824 0.7500  6 Sn 2.68-2.86, 2 Ir 2.93
Sn 0.6295 0.3705 0.0564  3 Pd 2.68-2.86, 2 Ir 2.72, 1 Sn 2.95
Sn 0.6295 0.3705 0.4436  3 Pd 2.68-2.86, 2 Ir 2.72, 1 Sn 2.95
Sn 0.3705 0.6295 0.5564  3 Pd 2.68-2.86, 2 Ir 2.72, 1 Sn 2.95
Sn 0.3705 0.6295 0.9436  3 Pd 2.68-2.86, 2 Ir 2.72, 1 Sn 2.95



# 12
Computed, not measured: a geometry-optimized SnIr2Pd structure at the GGA-PBE level of DFT.

- V (Å³ per atom) = 16.29
- symmetry = F-43m (216)
- energy (eV per atom) = -6.604

a = 4.5172 Å, b = 4.5172 Å, c = 4.5172 Å
α = 60.00°, β = 60.00°, γ = 60.00°
With the nearest neighbours (Å) after each atom.
Fractional coordinates of all 4 atoms:
Ir 0.0000 0.0000 0.0000  4 Ir 2.77, 4 Pd 2.77
Ir 0.7500 0.7500 0.7500  4 Ir 2.77, 4 Sn 2.77
Pd 0.2500 0.2500 0.2500  4 Sn 2.77, 4 Ir 2.77
Sn 0.5000 0.5000 0.5000  4 Pd 2.77, 4 Ir 2.77



# 13
Computed, not measured: a geometry-optimized Tb3Sn3Ir2Pd structure at the GGA-PBE level of DFT.

- V (Å³ per atom) = 21.67
- symmetry = P-62m (189)
- energy (eV per atom) = -6.285

a = 7.5512 Å, b = 7.5512 Å, c = 3.9487 Å
α = 90.00°, β = 90.00°, γ = 120.00°
With the nearest neighbours (Å) after each atom.
Fractional coordinates of all 9 atoms:
Ir 0.6667 0.3333 0.5000  3 Sn 2.82, 6 Tb 3.02
Ir 0.3333 0.6667 0.5000  3 Sn 2.82, 6 Tb 3.02
Pd 0.0000 0.0000 0.0000  6 Sn 2.80, 3 Tb 3.10
Sn 0.2625 0.0000 0.5000  2 Pd 2.80, 2 Ir 2.82
Sn 0.0000 0.2625 0.5000  2 Pd 2.80, 2 Ir 2.82
Sn 0.7375 0.7375 0.5000  2 Pd 2.80, 2 Ir 2.82
Tb 0.5895 0.0000 0.0000  4 Ir 3.02, 1 Pd 3.10, 6 Sn 3.16-3.36
Tb 0.4105 0.4105 0.0000  4 Ir 3.02, 1 Pd 3.10, 6 Sn 3.16-3.36
Tb 0.0000 0.5895 0.0000  4 Ir 3.02, 1 Pd 3.10, 6 Sn 3.16-3.36